Record 1
VASP calculation (PBEsol) on crystalline Tl2GaSn at its relaxed geometry.

Values from the calculation:
Density of states at the Fermi level, states/eV/f.u.: 1.841
Formation energy, kJ/mol of atoms: 8.5

```
data_Tl2GaSn
_symmetry_space_group_name_H-M 'F m -3 m'
_symmetry_Int_Tables_number 225
_symmetry_space_group_name_Hall '-F 4 2 3'
_cell_length_a 7.438
_cell_length_b 7.438
_cell_length_c 7.438
_cell_angle_alpha 90.00
_cell_angle_beta 90.00
_cell_angle_gamma 90.00
loop_
_atom_site_label
_atom_site_fract_x
_atom_site_fract_y
_atom_site_fract_z
_atom_site_occupancy
Tl1 0.250 0.250 0.250 1
Ga1 0.000 0.000 0.000 1
Sn1 0.000 0.000 0.500 1
```

=====

Record 2
VASP calculation (PBEsol) on crystalline TlGaSn2 at its relaxed geometry.

Values from the calculation:
Density of states at the Fermi level, states/eV/f.u.: 2.642
Formation energy, kJ/mol of atoms: 8.7

```
data_TlGaSn2
_symmetry_space_group_name_H-M 'F m -3 m'
_symmetry_Int_Tables_number 225
_symmetry_space_group_name_Hall '-F 4 2 3'
_cell_length_a 7.338
_cell_length_b 7.338
_cell_length_c 7.338
_cell_angle_alpha 90.00
_cell_angle_beta 90.00
_cell_angle_gamma 90.00
loop_
_atom_site_label
_atom_site_fract_x
_atom_site_fract_y
_atom_site_fract_z
_atom_site_occupancy
Tl1 0.000 0.000 0.000 1
Ga1 0.000 0.000 0.500 1
Sn1 0.250 0.250 0.250 1
```

=====

Record 3
VASP calculation (PBEsol) on crystalline V9Ga2Sn at its relaxed geometry.

Values from the calculation:
Density of states at the Fermi level, states/eV/f.u.: 21.612
Formation energy, kJ/mol of atoms: -15.5

```
data_V9Ga2Sn
_symmetry_space_group_name_H-M 'P m m m'
_symmetry_Int_Tables_number 47
_symmetry_space_group_name_Hall '-P 2 2'
_cell_length_a 4.775
_cell_length_b 4.791
_cell_length_c 14.321
_cell_angle_alpha 90.00
_cell_angle_beta 90.00
_cell_angle_gamma 90.00
loop_
_atom_site_label
_atom_site_fract_x
_atom_site_fract_y
_atom_site_fract_z
_atom_site_occupancy
V1 0.000 0.000 0.080 1
V2 0.000 0.000 0.240 1
V3 0.000 0.000 0.418 1
V4 0.234 0.500 0.332 1
V5 0.263 0.500 0.000 1
V6 0.500 0.255 0.500 1
V7 0.500 0.259 0.159 1
Ga1 0.000 0.500 0.165 1
Ga2 0.000 0.500 0.500 1
Ga3 0.500 0.000 0.000 1
Sn1 0.500 0.000 0.329 1
```

=====

Record 4
VASP calculation (PBEsol) on crystalline V6GaSn at its relaxed geometry.

Values from the calculation:
Density of states at the Fermi level, states/eV/f.u.: 15.544
Formation energy, kJ/mol of atoms: -12.9

```
data_V6GaSn
_symmetry_space_group_name_H-M 'P m -3'
_symmetry_Int_Tables_number 200
_symmetry_space_group_name_Hall '-P 2 2 3'
_cell_length_a 4.811
_cell_length_b 4.811
_cell_length_c 4.811
_cell_angle_alpha 90.00
_cell_angle_beta 90.00
_cell_angle_gamma 90.00
loop_
_atom_site_label
_atom_site_fract_x
_atom_site_fract_y
_atom_site_fract_z
_atom_site_occupancy
V1 0.000 0.238 0.500 1
Ga1 0.000 0.000 0.000 1
Sn1 0.500 0.500 0.500 1
```

=====

Volume in Å³ per cell, matching the order above: 411.4; 395.1; 327.6; 111.3